Below is a relaxed structure of TiMoP3O12, with properties calculated at the GGA-PBEsol level.

Cell: 8.602 8.602 8.811 Å, 60.78 60.78 60.00°
Last column: magnetic moment on the atom in μB.
Element x y z (fractional)
O (0.788, 0.559, 0.228)  0.01
O (0.359, 0.224, 0.422)  0.01
O (0.059, 0.288, 0.728)  0.01
P (0.470, 0.748, 0.748)  0.00
O (0.425, 0.788, 0.228)  0.01
O (0.288, 0.925, 0.728)  0.01
O (0.576, 0.211, 0.775)  0.00
O (0.711, 0.076, 0.275)  0.00
O (0.002, 0.639, 0.579)  0.00
P (0.248, 0.970, 0.248)  0.00
O (0.938, 0.711, 0.275)  0.00
Ti (0.359, 0.359, 0.922)  0.04
Ti (0.859, 0.859, 0.422)  0.04
O (0.995, 0.359, 0.422)  0.01
Mo (0.141, 0.141, 0.577)  0.80
O (0.495, 0.724, 0.922)  0.01
O (0.139, 0.502, 0.079)  0.00
O (0.559, 0.425, 0.228)  0.01
P (0.034, 0.470, 0.748)  0.00
O (0.211, 0.438, 0.775)  0.00
O (0.859, 0.495, 0.922)  0.01
O (0.224, 0.995, 0.422)  0.01
O (0.724, 0.859, 0.922)  0.01
O (0.639, 0.779, 0.579)  0.00
O (0.779, 0.002, 0.579)  0.00
P (0.970, 0.534, 0.248)  0.00
Mo (0.641, 0.641, 0.077)  0.80
O (0.279, 0.139, 0.079)  0.00
O (0.502, 0.279, 0.079)  0.00
P (0.748, 0.034, 0.748)  0.00
P (0.534, 0.248, 0.248)  0.00
O (0.925, 0.059, 0.728)  0.01
O (0.438, 0.576, 0.775)  0.00
O (0.076, 0.938, 0.275)  0.00

Calculated values
Symmetry: R3c, No. 161

=====

Below is a relaxed structure of TiZnMoP3O12, with properties calculated at the GGA-PBEsol level.

Cell: 8.534 8.534 8.534 Å, 60.79 60.79 60.79°
Last column: magnetic moment on the atom in μB.
Element x y z (fractional)
O (0.587, 0.445, 0.245)  0.00
O (0.117, 0.316, 0.499)  -0.01
Ti (0.356, 0.356, 0.356)  0.40
O (0.617, 0.999, 0.816)  -0.01
O (0.499, 0.117, 0.316)  -0.01
Zn (0.999, 0.999, 0.999)  0.01
P (0.746, 0.457, 0.048)  0.02
O (0.403, 0.563, 0.758)  0.01
P (0.246, 0.548, 0.957)  0.02
O (0.894, 0.677, 0.499)  0.02
O (0.677, 0.499, 0.894)  0.02
Mo (0.141, 0.141, 0.141)  2.18
O (0.999, 0.177, 0.394)  0.02
P (0.457, 0.048, 0.746)  0.02
Zn (0.499, 0.499, 0.499)  0.01
P (0.957, 0.246, 0.548)  0.02
O (0.999, 0.816, 0.617)  -0.01
O (0.063, 0.903, 0.258)  0.01
O (0.394, 0.999, 0.177)  0.02
O (0.258, 0.063, 0.903)  0.01
O (0.816, 0.617, 0.999)  -0.01
P (0.048, 0.746, 0.457)  0.02
O (0.563, 0.758, 0.403)  0.01
O (0.316, 0.499, 0.117)  -0.01
O (0.499, 0.894, 0.677)  0.02
P (0.548, 0.957, 0.246)  0.02
O (0.758, 0.403, 0.563)  0.01
O (0.177, 0.394, 0.999)  0.02
O (0.945, 0.087, 0.745)  0.00
O (0.445, 0.245, 0.587)  0.00
O (0.745, 0.945, 0.087)  0.00
Ti (0.856, 0.856, 0.856)  0.40
Mo (0.641, 0.641, 0.641)  2.18
O (0.903, 0.258, 0.063)  0.01
O (0.087, 0.745, 0.945)  0.00
O (0.245, 0.587, 0.445)  0.00

Calculated values
Symmetry: R3c, No. 161

=====

Below is a relaxed structure of Tl2Mo2P2O11, with properties calculated at the GGA-PBEsol level.

Cell: 9.992 9.866 10.145 Å, 90.00 90.00 97.40°
Element x y z (fractional)
P (0.065, 0.394, 0.618)
O (0.923, 0.723, 0.439)
O (0.648, 0.807, 0.194)
O (0.262, 0.131, 0.949)
O (0.738, 0.869, 0.449)
O (0.721, 0.428, 0.851)
O (0.525, 0.242, 0.909)
O (0.470, 0.529, 0.505)
P (0.433, 0.605, 0.379)
P (0.391, 0.871, 0.079)
O (0.329, 0.282, 0.444)
O (0.474, 0.969, 0.980)
O (0.026, 0.032, 0.021)
O (0.974, 0.968, 0.521)
O (0.475, 0.758, 0.409)
O (0.421, 0.932, 0.219)
Mo (0.614, 0.652, 0.090)
Mo (0.901, 0.073, 0.679)
O (0.491, 0.442, 0.758)
O (0.530, 0.471, 0.005)
O (0.671, 0.718, 0.944)
Tl (0.934, 0.232, 0.322)
Mo (0.099, 0.927, 0.179)
O (0.423, 0.723, 0.061)
Tl (0.546, 0.775, 0.683)
O (0.146, 0.809, 0.308)
O (0.218, 0.428, 0.644)
O (0.077, 0.277, 0.939)
P (0.567, 0.395, 0.879)
P (0.609, 0.129, 0.579)
O (0.976, 0.760, 0.089)
Mo (0.599, 0.925, 0.322)
O (0.577, 0.277, 0.561)
Tl (0.752, 0.515, 0.587)
Tl (0.248, 0.485, 0.087)
O (0.352, 0.193, 0.694)
O (0.975, 0.529, 0.992)
Mo (0.110, 0.654, 0.411)
P (0.935, 0.606, 0.118)
O (0.526, 0.031, 0.480)
O (0.016, 0.559, 0.236)
O (0.672, 0.077, 0.259)
Mo (0.401, 0.075, 0.822)
O (0.921, 0.933, 0.282)
O (0.079, 0.067, 0.782)
Tl (0.249, 0.002, 0.500)
Mo (0.386, 0.348, 0.590)
Mo (0.890, 0.346, 0.911)
O (0.174, 0.079, 0.240)
P (0.891, 0.872, 0.421)
O (0.984, 0.441, 0.736)
O (0.782, 0.572, 0.144)
O (0.826, 0.921, 0.740)
O (0.854, 0.191, 0.808)
O (0.762, 0.132, 0.552)
O (0.238, 0.868, 0.052)
O (0.826, 0.285, 0.056)
Tl (0.751, 0.998, 0.000)
O (0.509, 0.558, 0.258)
O (0.024, 0.240, 0.589)
O (0.279, 0.572, 0.351)
O (0.579, 0.068, 0.719)
P (0.109, 0.128, 0.921)
Tl (0.066, 0.768, 0.822)
O (0.328, 0.923, 0.759)
O (0.174, 0.715, 0.556)
Tl (0.454, 0.225, 0.183)
O (0.025, 0.471, 0.492)

Calculated values
Symmetry: P2_1, No. 4

=====

Below is a relaxed structure of ZnMoP2O, with properties calculated at the GGA-PBEsol level.

Cell: 3.489 4.651 4.651 Å, 90.00 90.00 90.00°
Last column: magnetic moment on the atom in μB.
Element x y z (fractional)
Zn (0.000, 0.000, 0.000)  0.00
P (0.000, 0.000, 0.500)  -0.09
P (0.000, 0.500, 0.000)  -0.09
O (0.500, 0.000, 0.000)  0.02
Mo (0.500, 0.500, 0.500)  2.07

Calculated values
Symmetry: P4/mmm, No. 123

=====

Below is a relaxed structure of MoPb2O5, with properties calculated at the GGA-PBEsol level.

Cell: 5.780 7.303 7.626 Å, 111.09 112.27 90.00°
Element x y z (fractional)
Pb (0.511, 0.256, 0.022)
Mo (0.830, 0.341, 0.661)
O (0.090, 0.400, 0.179)
Pb (0.863, 0.889, 0.726)
O (0.390, 0.781, 0.293)
O (0.254, 0.000, 0.000)
Mo (0.170, 0.659, 0.339)
O (0.300, 0.692, 0.601)
O (0.097, 0.219, 0.707)
O (0.746, 0.000, 0.000)
O (0.910, 0.600, 0.821)
O (0.610, 0.219, 0.707)
Pb (0.489, 0.744, 0.978)
O (0.700, 0.308, 0.399)
Pb (0.137, 0.111, 0.274)
O (0.903, 0.781, 0.293)

Calculated values
Symmetry: C2/m, No. 12

=====

Below is a relaxed structure of MoPbSeO6, with properties calculated at the GGA-PBEsol level.

Cell: 6.840 7.230 10.861 Å, 80.45 79.74 89.97°
Element x y z (fractional)
O (0.736, 0.290, 0.824)
Pb (0.759, 0.863, 0.489)
Se (0.709, 0.361, 0.531)
Mo (0.838, 0.556, 0.796)
O (0.572, 0.136, 0.381)
O (0.477, 0.019, 0.179)
Pb (0.659, 0.708, 0.156)
Se (0.381, 0.808, 0.782)
O (0.824, 0.951, 0.956)
Se (0.291, 0.639, 0.469)
O (0.087, 0.503, 0.759)
O (0.192, 0.436, 0.046)
Pb (0.341, 0.292, 0.844)
O (0.176, 0.049, 0.044)
Mo (0.834, 0.052, 0.802)
O (0.140, 0.184, 0.270)
O (0.913, 0.497, 0.241)
O (0.090, 0.111, 0.755)
O (0.264, 0.710, 0.176)
Pb (0.241, 0.137, 0.511)
O (0.484, 0.391, 0.191)
Se (0.619, 0.192, 0.218)
O (0.428, 0.864, 0.619)
O (0.910, 0.889, 0.245)
O (0.184, 0.842, 0.402)
O (0.204, 0.467, 0.396)
O (0.516, 0.609, 0.809)
O (0.816, 0.158, 0.598)
Mo (0.166, 0.948, 0.198)
O (0.465, 0.328, 0.607)
O (0.860, 0.816, 0.730)
O (0.523, 0.981, 0.821)
Mo (0.162, 0.444, 0.204)
O (0.535, 0.672, 0.393)
O (0.808, 0.564, 0.954)
O (0.796, 0.533, 0.604)

Calculated values
Symmetry: P-1, No. 2

=====

Below is a relaxed structure of UMo4PbO16, with properties calculated at the GGA-PBEsol level.

Cell: 6.722 8.485 11.475 Å, 90.44 90.00 90.00°
Element x y z (fractional)
O (0.587, 0.740, 0.868)
Mo (0.162, 0.201, 0.404)
O (0.851, 0.251, 0.070)
O (0.588, 0.255, 0.611)
O (0.846, 0.001, 0.903)
O (0.846, 0.499, 0.597)
O (0.413, 0.260, 0.132)
O (0.149, 0.001, 0.402)
O (0.588, 0.245, 0.889)
O (0.945, 0.750, 0.750)
O (0.694, 0.035, 0.247)
Mo (0.162, 0.299, 0.096)
Mo (0.836, 0.202, 0.906)
O (0.851, 0.501, 0.902)
O (0.412, 0.745, 0.389)
O (0.149, 0.749, 0.930)
O (0.140, 0.249, 0.559)
O (0.860, 0.749, 0.059)
O (0.694, 0.465, 0.253)
O (0.860, 0.751, 0.441)
O (0.412, 0.755, 0.111)
O (0.306, 0.965, 0.753)
O (0.587, 0.760, 0.632)
Mo (0.164, 0.702, 0.406)
O (0.055, 0.250, 0.250)
O (0.154, 0.501, 0.403)
O (0.306, 0.535, 0.747)
Mo (0.836, 0.298, 0.594)
Pb (0.689, 0.750, 0.250)
Mo (0.838, 0.701, 0.904)
O (0.149, 0.751, 0.570)
O (0.154, 0.999, 0.097)
O (0.413, 0.240, 0.368)
O (0.149, 0.499, 0.098)
Mo (0.838, 0.799, 0.596)
O (0.851, 0.249, 0.430)
Pb (0.311, 0.250, 0.750)
U (0.306, 0.750, 0.750)
O (0.078, 0.750, 0.250)
O (0.851, 0.999, 0.598)
U (0.694, 0.250, 0.250)
O (0.140, 0.251, 0.941)
O (0.922, 0.250, 0.750)
Mo (0.164, 0.798, 0.094)

Calculated values
Symmetry: P2/c, No. 13

=====

Below is a relaxed structure of RbMo2PdO, with properties calculated at the GGA-PBEsol level.

Cell: 4.015 4.015 5.269 Å, 90.00 90.00 90.00°
Element x y z (fractional)
Pd (0.500, 0.500, 0.500)
Rb (0.000, 0.000, 0.500)
O (0.000, 0.000, 0.000)
Mo (0.500, 0.000, 0.000)
Mo (0.000, 0.500, 0.000)

Calculated values
Symmetry: P4/mmm, No. 123

=====

Number 1: total energy -8.220 eV/atom. Number 2: total energy -7.832 eV/atom. Number 3: total energy -7.677 eV/atom. Number 4: total energy -5.277 eV/atom. Number 5: total energy -7.391 eV/atom. Number 6: total energy -7.151 eV/atom. Number 7: total energy -8.799 eV/atom. Number 8: total energy -6.771 eV/atom.